(1)
Computed, not measured: a geometry-optimized LiSmAg4 structure at the PBE-GGA level of DFT.

Values from the calculation:
N(E_F)	30.00	states/eV per cell
energy of formation from the pure elements	-0.157	eV per atom

The structure in CIF format:
```
data_LiSmAg4
_chemical_formula_sum 'Li4 Sm4 Ag16'
_space_group_name_H-M_alt 'F -4 3 m'
_space_group_IT_number 216
_space_group_name_Hall 'F -4 2 3'
_cell_length_a 7.925
_cell_length_b 7.925
_cell_length_c 7.925
_cell_angle_alpha 90.00
_cell_angle_beta 90.00
_cell_angle_gamma 90.00
loop_
_atom_site_label
_atom_site_type_symbol
_atom_site_fract_x
_atom_site_fract_y
_atom_site_fract_z
Li1 Li 0.000 0.000 0.000
Sm1 Sm 0.250 0.250 0.750
Ag1 Ag 0.126 0.126 0.374
```

***

(2)
Computed, not measured: a geometry-optimized NdYTeBr structure at the PBE-GGA level of DFT.

Values from the calculation:
N(E_F)	12.74	states/eV per cell
energy relative to the elements, uncorrected	-1143	meV per atom

The structure in CIF format:
```
data_NdYTeBr
_chemical_formula_sum 'Nd4 Y4 Te4 Br4'
_space_group_name_H-M_alt 'F -4 3 m'
_space_group_IT_number 216
_space_group_name_Hall 'F -4 2 3'
_cell_length_a 7.511
_cell_length_b 7.511
_cell_length_c 7.511
_cell_angle_alpha 90.00
_cell_angle_beta 90.00
_cell_angle_gamma 90.00
loop_
_atom_site_label
_atom_site_type_symbol
_atom_site_fract_x
_atom_site_fract_y
_atom_site_fract_z
Nd1 Nd 0.000 0.000 0.000
Y1 Y 0.000 0.000 0.500
Te1 Te 0.250 0.250 0.750
Br1 Br 0.250 0.250 0.250
```

***

(3)
Computed, not measured: a geometry-optimized SmAgAu4 structure at the PBE-GGA level of DFT.

Values from the calculation:
N(E_F)	1.41	states/eV per cell
energy of formation from the pure elements	-0.374	eV per atom

The structure in CIF format:
```
data_SmAgAu4
_chemical_formula_sum 'Sm1 Ag1 Au4'
_space_group_name_H-M_alt 'P 1 2/m 1'
_space_group_IT_number 10
_space_group_name_Hall '-P 2y'
_cell_length_a 3.615
_cell_length_b 3.744
_cell_length_c 9.039
_cell_angle_alpha 90.00
_cell_angle_beta 90.24
_cell_angle_gamma 90.00
loop_
_atom_site_label
_atom_site_type_symbol
_atom_site_fract_x
_atom_site_fract_y
_atom_site_fract_z
Sm1 Sm 0.000 0.000 0.000
Ag1 Ag 0.500 0.500 0.500
Au1 Au 0.002 0.000 0.341
Au2 Au 0.498 0.500 0.817
```

***

(4)
Computed, not measured: a geometry-optimized ScAuSe2 structure at the PBE-GGA level of DFT.

Values from the calculation:
N(E_F)	0.40	states/eV per cell
energy relative to the elements, uncorrected	-913	meV per atom

The structure in CIF format:
```
data_ScAuSe2
_chemical_formula_sum 'Sc4 Au4 Se8'
_space_group_name_H-M_alt 'P n m a'
_space_group_IT_number 62
_space_group_name_Hall '-P 2ac 2n'
_cell_length_a 7.438
_cell_length_b 3.807
_cell_length_c 12.047
_cell_angle_alpha 90.00
_cell_angle_beta 90.00
_cell_angle_gamma 90.00
loop_
_atom_site_label
_atom_site_type_symbol
_atom_site_fract_x
_atom_site_fract_y
_atom_site_fract_z
Sc1 Sc 0.144 0.250 0.158
Au1 Au 0.112 0.750 0.448
Se1 Se 0.082 0.250 0.732
Se2 Se 0.156 0.750 0.989
```

***

(5)
Computed, not measured: a geometry-optimized PPt2Pb structure at the PBE-GGA level of DFT.

Values from the calculation:
N(E_F)	14.40	states/eV per cell
energy of formation from the pure elements	0.372	eV per atom

The structure in CIF format:
```
data_PPt2Pb
_chemical_formula_sum 'P4 Pt8 Pb4'
_space_group_name_H-M_alt 'F -4 3 m'
_space_group_IT_number 216
_space_group_name_Hall 'F -4 2 3'
_cell_length_a 6.647
_cell_length_b 6.647
_cell_length_c 6.647
_cell_angle_alpha 90.00
_cell_angle_beta 90.00
_cell_angle_gamma 90.00
loop_
_atom_site_label
_atom_site_type_symbol
_atom_site_fract_x
_atom_site_fract_y
_atom_site_fract_z
P1 P 0.000 0.000 0.000
Pt1 Pt 0.000 0.000 0.500
Pt2 Pt 0.250 0.250 0.750
Pb1 Pb 0.250 0.250 0.250
```

***

(6)
Computed, not measured: a geometry-optimized LaSmSi4 structure at the PBE-GGA level of DFT.

Values from the calculation:
N(E_F)	5.14	states/eV per cell
energy relative to the elements, uncorrected	-626	meV per atom

The structure in CIF format:
```
data_LaSmSi4
_chemical_formula_sum 'La2 Sm2 Si8'
_space_group_name_H-M_alt 'I -4 m 2'
_space_group_IT_number 119
_space_group_name_Hall 'I -4 -2'
_cell_length_a 4.306
_cell_length_b 4.306
_cell_length_c 13.597
_cell_angle_alpha 90.00
_cell_angle_beta 90.00
_cell_angle_gamma 90.00
loop_
_atom_site_label
_atom_site_type_symbol
_atom_site_fract_x
_atom_site_fract_y
_atom_site_fract_z
La1 La 0.000 0.000 0.000
Sm1 Sm 0.000 0.500 0.250
Si1 Si 0.000 0.000 0.413
Si2 Si 0.000 0.500 0.665
```

***

(7)
Computed, not measured: a geometry-optimized ZnMoP2 structure at the PBE-GGA level of DFT.

Values from the calculation:
N(E_F)	3.36	states/eV per cell
energy of formation from the pure elements	0.162	eV per atom

The structure in CIF format:
```
data_ZnMoP2
_chemical_formula_sum 'Zn2 Mo2 P4'
_space_group_name_H-M_alt 'C m m m'
_space_group_IT_number 65
_space_group_name_Hall '-C 2 2'
_cell_length_a 5.560
_cell_length_b 6.444
_cell_length_c 3.166
_cell_angle_alpha 90.00
_cell_angle_beta 90.00
_cell_angle_gamma 90.00
loop_
_atom_site_label
_atom_site_type_symbol
_atom_site_fract_x
_atom_site_fract_y
_atom_site_fract_z
Zn1 Zn 0.000 0.000 0.000
Mo1 Mo 0.000 0.500 0.000
P1 P 0.250 0.250 0.500
```

***

(8)
Computed, not measured: a geometry-optimized Zr5BiPb2 structure at the PBE-GGA level of DFT.

Values from the calculation:
N(E_F)	13.00	states/eV per cell
energy of formation from the pure elements	-0.203	eV per atom

The structure in CIF format:
```
data_Zr5BiPb2
_chemical_formula_sum 'Zr10 Bi2 Pb4'
_space_group_name_H-M_alt 'P b a m'
_space_group_IT_number 55
_space_group_name_Hall '-P 2 2ab'
_cell_length_a 6.258
_cell_length_b 12.024
_cell_length_c 5.019
_cell_angle_alpha 90.00
_cell_angle_beta 90.00
_cell_angle_gamma 90.00
loop_
_atom_site_label
_atom_site_type_symbol
_atom_site_fract_x
_atom_site_fract_y
_atom_site_fract_z
Zr1 Zr 0.000 0.000 0.000
Zr2 Zr 0.149 0.241 0.000
Zr3 Zr 0.149 0.608 0.500
Bi1 Bi 0.000 0.500 0.000
Pb1 Pb 0.134 0.858 0.500
```

***

(9)
Computed, not measured: a geometry-optimized ErAl3Pt structure at the PBE-GGA level of DFT.

Values from the calculation:
N(E_F)	9.73	states/eV per cell
energy of formation from the pure elements	-0.805	eV per atom

The structure in CIF format:
```
data_ErAl3Pt
_chemical_formula_sum 'Er4 Al12 Pt4'
_space_group_name_H-M_alt 'P n m a'
_space_group_IT_number 62
_space_group_name_Hall '-P 2ac 2n'
_cell_length_a 8.290
_cell_length_b 4.142
_cell_length_c 10.969
_cell_angle_alpha 90.00
_cell_angle_beta 90.00
_cell_angle_gamma 90.00
loop_
_atom_site_label
_atom_site_type_symbol
_atom_site_fract_x
_atom_site_fract_y
_atom_site_fract_z
Er1 Er 0.186 0.250 0.011
Al1 Al 0.063 0.250 0.586
Al2 Al 0.107 0.750 0.802
Al3 Al 0.143 0.750 0.215
Pt1 Pt 0.103 0.250 0.356
```

***

(10)
Computed, not measured: a geometry-optimized CaAcHgPt structure at the PBE-GGA level of DFT.

Values from the calculation:
N(E_F)	10.12	states/eV per cell
energy of formation from the pure elements	-0.715	eV per atom

The structure in CIF format:
```
data_CaAcHgPt
_chemical_formula_sum 'Ca4 Ac4 Hg4 Pt4'
_space_group_name_H-M_alt 'F -4 3 m'
_space_group_IT_number 216
_space_group_name_Hall 'F -4 2 3'
_cell_length_a 7.572
_cell_length_b 7.572
_cell_length_c 7.572
_cell_angle_alpha 90.00
_cell_angle_beta 90.00
_cell_angle_gamma 90.00
loop_
_atom_site_label
_atom_site_type_symbol
_atom_site_fract_x
_atom_site_fract_y
_atom_site_fract_z
Ca1 Ca 0.000 0.000 0.000
Ac1 Ac 0.000 0.000 0.500
Hg1 Hg 0.250 0.250 0.250
Pt1 Pt 0.250 0.250 0.750
```

***

(11)
Computed, not measured: a geometry-optimized V3Br structure at the PBE-GGA level of DFT.

Values from the calculation:
N(E_F)	6.23	states/eV per cell
energy relative to the elements, uncorrected	606	meV per atom

The structure in CIF format:
```
data_V3Br
_chemical_formula_sum 'V6 Br2'
_space_group_name_H-M_alt 'I 4/m m m'
_space_group_IT_number 139
_space_group_name_Hall '-I 4 2'
_cell_length_a 3.555
_cell_length_b 3.555
_cell_length_c 9.091
_cell_angle_alpha 90.00
_cell_angle_beta 90.00
_cell_angle_gamma 90.00
loop_
_atom_site_label
_atom_site_type_symbol
_atom_site_fract_x
_atom_site_fract_y
_atom_site_fract_z
V1 V 0.000 0.000 0.000
V2 V 0.000 0.500 0.250
Br1 Br 0.000 0.000 0.500
```

***

(12)
Computed, not measured: a geometry-optimized Sr3In6Sn2Pb structure at the PBE-GGA level of DFT.

Values from the calculation:
N(E_F)	5.80	states/eV per cell
energy of formation from the pure elements	-0.209	eV per atom

The structure in CIF format:
```
data_Sr3In6Sn2Pb
_chemical_formula_sum 'Sr3 In6 Sn2 Pb1'
_space_group_name_H-M_alt 'P -3 m 1'
_space_group_IT_number 164
_space_group_name_Hall '-P 3 2"'
_cell_length_a 6.1565
_cell_length_b 6.1565
_cell_length_c 11.7053
_cell_angle_alpha 90.00
_cell_angle_beta 90.00
_cell_angle_gamma 120.00
loop_
_atom_site_label
_atom_site_type_symbol
_atom_site_fract_x
_atom_site_fract_y
_atom_site_fract_z
Sr1 Sr 0.0000 0.0000 0.0000
Sr2 Sr 0.3333 0.6667 0.5716
In1 In 0.1686 0.3371 0.2647
Sn1 Sn 0.3333 0.6667 0.0380
Pb1 Pb 0.0000 0.0000 0.5000
```

***

Q: The highest N(E_F) belongs to which entry?
A: LiSmAg4